Compound: KCdFe2
Source: Alexandria via LeMat-Bulk
Functional: PBE
Structure: relaxed

Unit cell a=3.6162 b=3.6162 c=7.3790 alpha=90.00 beta=90.00 gamma=90.00
Fractional positions:
Cd: 0.5000 0.5000 0.7500
K: 0.5000 0.5000 0.2500
Fe: 0.0000 0.0000 0.6050
Fe: 0.0000 0.0000 0.8950

Summary:
Crystal system = tetragonal
Formation enthalpy at 0 K = 782 meV per atom
Symmetry = P4/mmm (123)
M_tot = 5.7 μB/f.u.